# 1
Ba5TlAg2 | PBE | relaxed

Cell lengths 9.138, 9.138, 16.475 Å; angles 90.00, 90.00, 90.00 degrees
Space group I4/mcm (No. 140)
Inequivalent atoms, fractional coordinates:
Ba 0.000 0.000 0.000 x4
Ba 0.171 0.329 0.142 x16
Tl 0.000 0.000 0.250 x4
Ag 0.116 0.384 0.500 x8

Properties
DOS at the Fermi energy (states/eV/cell): 26.6
Formation energy (eV per atom): -0.253

# 2
BaTlAg | PBE | relaxed

Cell lengths 4.080, 4.080, 11.518 Å; angles 90.00, 90.00, 90.00 degrees
Space group I4mm (No. 107)
Inequivalent atoms, fractional coordinates:
Ba 0.000 0.000 0.000 x2
Tl 0.000 0.000 0.303 x2
Ag 0.000 0.000 0.689 x2

Properties
Excess energy over the best structure of this formula in the dataset (meV per atom): 109
DOS at the Fermi energy (states/eV/cell): 2.6
Formation energy (eV per atom): -0.193